PaTi2Au: relaxed, PBE.

Values from the calculation:
- DOS(E_F): 5.8 states/eV/cell
- Total DFT energy (no corrections): -7.15 eV per atom
- Volume: 74.0 Å³/cell
- Polymorph energy (0 for the lowest one): 139 meV/atom
- DFT formation energy: -13 meV per atom
- SG: Fm-3m

Lattice parameters (Å, degrees): 4.7133 4.7133 4.7133 60.00 60.00 60.00
With the nearest neighbours (Å) after each atom.
Sites, in units of the cell vectors:
Pa (0.5000, 0.5000, 0.5000)  8 Ti 2.89
Au (0.0000, 0.0000, 0.0000)  8 Ti 2.89
Ti (0.2500, 0.2500, 0.2500)  4 Au 2.89, 4 Pa 2.89
Ti (0.7500, 0.7500, 0.7500)  4 Pa 2.89, 4 Au 2.89